A plane-wave DFT calculation with PBE was carried out for a geometry-optimized HfBi2Rh structure.

Its space-group type is R-3m, No. 166. The density of states at the Fermi level is 3.74 states/eV/cell. The formation energy from the elements comes out at 0.30 eV/atom.

a = 10.3868 Å, b = 10.3868 Å, c = 10.3868 Å
α = 18.34°, β = 18.34°, γ = 18.34°
Last column: nearest neighbours and their distance in Å.
Positions (direct):
Hf: 0.0000 0.0000 0.0000  6 Bi 3.13, 6 Hf 3.31
Bi: 0.4144 0.4144 0.4144  1 Rh 2.62
Bi: 0.5856 0.5856 0.5856  1 Rh 2.62
Rh: 0.5000 0.5000 0.5000  2 Bi 2.62